Entry 1:
MgWS2: optimized geometry, GGA-PBEsol.

Computed properties:
ΔE_f (raw) ... -0.21 eV per atom
DOS at the Fermi energy ... 2.9 states/eV/f.u.
M_tot ... 0.00 μB per cell
Calculated total energy ... -50.30 eV/cell

Geometry as POSCAR:
```
MgWS2
1.0
5.340 0.000 0.000
0.000 5.340 0.000
-2.670 -2.670 5.754
Mg W S
2 2 4
direct
0.500 0.500 0.000
0.750 0.250 0.500
0.250 0.750 0.500
0.000 0.000 0.000
0.625 0.653 0.750
0.347 0.875 0.250
0.903 0.375 0.250
0.125 0.097 0.750
```

---

Entry 2:
MgZn3S4: optimized geometry, GGA-PBEsol.

Computed properties:
ΔE_f (raw) ... -0.95 eV per atom
DOS at the Fermi energy ... 0.0 states/eV/f.u.
M_tot ... 0.00 μB per cell
Calculated total energy ... -31.57 eV/cell

Geometry as POSCAR:
```
MgZn3S4
1.0
3.834 0.000 0.000
0.000 6.281 -0.003
0.000 -0.004 6.667
S Zn Mg
4 3 1
direct
0.500 0.369 0.155
0.000 0.372 0.677
0.500 0.873 0.833
0.000 0.889 0.335
0.500 0.000 0.163
0.000 0.001 0.670
0.500 0.501 0.833
0.000 0.500 0.334
```

---

Entry 3:
MgZn3S4: optimized geometry, GGA-PBEsol.

Computed properties:
ΔE_f (raw) ... -0.95 eV per atom
DOS at the Fermi energy ... 0.0 states/eV/f.u.
M_tot ... 0.00 μB per cell
Calculated total energy ... -31.57 eV/cell

Geometry as POSCAR:
```
MgZn3S4
1.0
-2.525 3.202 -3.592
-4.679 -0.690 2.674
1.120 4.336 3.078
S Mg Zn
4 1 3
direct
0.743 0.743 0.257
0.257 0.743 0.743
0.743 0.257 0.743
0.257 0.257 0.257
0.000 0.000 0.000
0.500 0.500 0.000
0.500 0.000 0.500
0.000 0.500 0.500
```

---

Entry 4:
MgZrS3: optimized geometry, GGA-PBEsol.

Computed properties:
ΔE_f (raw) ... -0.84 eV per atom
DOS at the Fermi energy ... 1.9 states/eV/f.u.
M_tot ... 0.00 μB per cell
Calculated total energy ... -28.15 eV/cell

Geometry as POSCAR:
```
MgZrS3
1.0
4.912 0.000 0.000
0.000 4.912 0.000
0.000 0.000 4.912
Mg S Zr
1 3 1
direct
0.500 0.500 0.500
0.000 0.500 0.000
0.500 0.000 0.000
0.000 0.000 0.500
0.000 0.000 0.000
```

---

Entry 5:
MgZrS3: optimized geometry, GGA-PBEsol.

Computed properties:
ΔE_f (raw) ... -0.33 eV per atom
DOS at the Fermi energy ... 1.3 states/eV/f.u.
M_tot ... 0.00 μB per cell
Calculated total energy ... -25.60 eV/cell

Geometry as POSCAR:
```
MgZrS3
1.0
-0.332 4.541 0.563
0.433 -0.531 4.536
4.555 0.381 -0.390
Zr S Mg
1 3 1
direct
0.500 0.500 0.500
0.000 0.000 0.500
0.000 0.500 0.000
0.500 0.000 0.000
0.000 0.000 0.000
```

---

Entry 6:
MgZrS2: optimized geometry, GGA-PBEsol.

Computed properties:
ΔE_f (raw) ... -1.23 eV per atom
DOS at the Fermi energy ... 1.4 states/eV/f.u.
M_tot ... 0.00 μB per cell
Calculated total energy ... -24.51 eV/cell

Geometry as POSCAR:
```
MgZrS2
1.0
3.525 0.000 0.000
1.763 3.053 0.000
1.763 1.018 8.171
Mg S Zr
1 2 1
direct
0.000 0.000 0.000
0.897 0.897 0.310
0.103 0.103 0.690
0.500 0.500 0.500
```

---

Entry 7:
MgSb: optimized geometry, GGA-PBEsol.

Computed properties:
ΔE_f (raw) ... -0.12 eV per atom
DOS at the Fermi energy ... 0.5 states/eV/f.u.
M_tot ... 0.00 μB per cell
Calculated total energy ... -13.05 eV/cell

Geometry as POSCAR:
```
MgSb
1.0
-1.290 4.277 1.806
0.344 0.818 4.737
5.637 3.833 1.380
Sb Mg
2 2
direct
0.075 0.075 0.775
0.925 0.925 0.225
0.764 0.764 0.709
0.236 0.236 0.291
```

---

Entry 8:
MgSb3: optimized geometry, GGA-PBEsol.

Computed properties:
ΔE_f (raw) ... -0.07 eV per atom
DOS at the Fermi energy ... 1.9 states/eV/f.u.
M_tot ... 0.00 μB per cell
Calculated total energy ... -15.65 eV/cell

Geometry as POSCAR:
```
MgSb3
1.0
3.143 0.000 0.026
0.000 4.085 0.000
-0.091 0.000 8.176
Mg Sb
1 3
direct
0.000 0.000 0.000
0.501 0.500 0.221
0.499 0.500 0.779
0.500 0.000 0.500
```